[1]
Here is a relaxed ErTi6Al12 crystal from Alexandria. Energies are from GGA-PBE.

Calculated values
ΔE_f, eV per atom: 0.056

Geometry as POSCAR:
```
ErTi6Al12
1.0
7.446 0.013 0.018
-1.834 7.217 0.018
-1.834 -2.362 6.820
Al Ti Er
12 6 1
Cartesian
1.890 -1.336 6.105
1.979 2.550 5.981
1.800 0.062 2.477
-0.386 1.759 2.477
5.542 3.368 0.751
4.166 3.109 4.378
1.890 6.204 0.751
5.542 -0.401 3.428
-1.763 1.499 6.105
1.979 4.806 4.378
-1.763 5.269 3.428
1.800 2.318 0.875
3.360 0.448 4.740
-0.399 3.366 4.740
4.178 1.502 2.115
3.360 4.328 1.985
0.419 0.540 4.870
0.419 4.420 2.115
0.000 0.000 0.000
```



[2]
Here is a relaxed SrPrEu crystal from Alexandria. Energies are from GGA-PBE.

Calculated values
ΔE_f, eV per atom: 0.085

Geometry as POSCAR:
```
SrPrEu
1.0
3.915 0.000 0.000
-1.958 3.391 0.000
0.000 0.000 9.680
Sr Eu Pr
1 1 1
Cartesian
0.000 0.000 0.054
0.000 2.261 6.315
1.958 1.130 3.311
```



[3]
Here is a relaxed Er3Ga crystal from Alexandria. Energies are from GGA-PBE.

Calculated values
ΔE_f, eV per atom: -0.018

Geometry as POSCAR:
```
Er3Ga
1.0
3.371 0.000 0.000
0.000 3.402 0.000
0.000 0.000 9.916
Ga Er
1 3
Cartesian
0.000 0.000 9.671
1.685 0.000 7.213
0.000 1.701 4.666
1.685 1.701 1.588
```



[4]
Here is a relaxed Er2BeCd crystal from Alexandria. Energies are from GGA-PBE.

Calculated values
ΔE_f, eV per atom: -0.049

Geometry as POSCAR:
```
Er2BeCd
1.0
-1.952 -4.480 1.264
3.052 -3.815 1.270
0.204 -1.582 4.789
Cd Er Be
1 2 1
Cartesian
0.000 0.000 0.000
0.326 -2.469 1.831
0.978 -7.407 5.492
0.652 -4.938 3.661
```



[5]
Here is a relaxed Ta2ReRh crystal from Alexandria. Energies are from GGA-PBE.

Calculated values
ΔE_f, eV per atom: -0.150

Geometry as POSCAR:
```
Ta2ReRh
1.0
-1.954 1.954 4.298
1.954 -1.954 4.298
1.954 1.954 -4.298
Ta Re Rh
2 1 1
Cartesian
1.954 0.000 2.149
0.000 0.000 0.000
0.000 0.000 4.298
0.000 1.954 2.149
```



[6]
Here is a relaxed SbOsPt2 crystal from Alexandria. Energies are from GGA-PBE.

Calculated values
Formation energy without anion corrections, eV per atom: 0.363

Geometry as POSCAR:
```
SbOsPt2
1.0
-2.452 -2.365 8.184
-1.813 -5.072 7.040
0.382 -3.369 8.190
Sb Pt Os
1 2 1
Cartesian
-1.933 -5.382 11.662
-0.967 -2.693 5.834
-0.011 -0.031 0.066
-2.911 -8.104 17.559
```



[7]
Here is a relaxed CaDy2Cd3 crystal from Alexandria. Energies are from GGA-PBE.

Calculated values
ΔE_f, eV per atom: -0.340

Geometry as POSCAR:
```
CaDy2Cd3
1.0
-0.045 -1.344 -3.503
2.306 -2.774 1.034
-9.027 -6.528 2.620
Cd Ca Dy
3 1 2
Cartesian
-6.108 -4.417 1.773
-2.919 -2.111 0.847
0.000 0.000 0.000
-3.383 -5.323 0.075
-6.431 -7.527 0.960
-0.335 -3.118 -0.809
```



[8]
Here is a relaxed TbPm8Nd2 crystal from Alexandria. Energies are from GGA-PBE.

Calculated values
ΔE_f, eV per atom: 0.014

Geometry as POSCAR:
```
TbPm8Nd2
1.0
-2.051 2.213 4.183
0.522 -7.092 4.008
9.070 3.234 -0.444
Nd Pm Tb
2 8 1
Cartesian
3.557 0.900 4.447
3.985 -2.545 3.300
2.367 -3.768 6.334
5.174 2.122 1.414
1.109 -4.772 3.069
6.433 3.127 4.679
5.267 -1.545 6.579
6.879 -0.324 3.544
0.663 -1.321 4.204
2.275 -0.100 1.168
-1.025 1.107 2.091
```



[9]
Here is a relaxed RbSrNi2Cl8 crystal from Alexandria. Energies are from GGA-PBE.

Calculated values
Formation energy without anion corrections, eV per atom: -1.186

Geometry as POSCAR:
```
RbSrNi2Cl8
1.0
-0.588 -1.627 -6.380
0.551 -6.318 -1.864
-9.393 -3.809 -1.588
Rb Cl Ni Sr
1 8 2 1
Cartesian
-4.715 -5.877 -4.916
-1.901 -3.516 -4.548
-7.529 -8.238 -5.284
-1.380 -7.117 -3.934
-4.924 -8.550 -7.639
-8.050 -4.636 -5.898
-1.956 -5.895 -7.368
-7.474 -5.858 -2.463
-4.505 -3.204 -2.192
-2.374 -2.941 -2.456
-7.055 -8.813 -7.376
0.000 0.000 0.000
```



[10]
Here is a relaxed Ac5PbAu4 crystal from Alexandria. Energies are from GGA-PBE.

Calculated values
ΔE_f, eV per atom: -0.707

Geometry as POSCAR:
```
Ac5PbAu4
1.0
-3.476 -1.563 0.888
-0.596 -0.823 -3.779
8.780 -18.072 2.552
Au Ac Pb
4 5 1
Cartesian
6.927 -14.259 2.013
1.853 -3.814 0.538
5.240 -10.786 1.523
3.540 -7.286 1.029
4.045 -13.710 0.322
0.663 -6.748 -0.661
5.730 -17.179 0.811
2.354 -10.229 -0.170
-1.022 -3.280 -1.151
0.000 0.000 0.000
```



[11]
Here is a relaxed AcNb2CdO8 crystal from Alexandria. Energies are from GGA-PBE.

Calculated values
Formation energy without anion corrections, eV per atom: -2.357

Geometry as POSCAR:
```
AcNb2CdO8
1.0
5.478 0.000 0.000
0.000 5.478 0.000
-2.739 -2.739 5.772
Nb O Ac Cd
2 8 1 1
Cartesian
2.739 2.739 0.000
0.000 2.739 2.886
-1.333 0.859 4.727
3.598 4.072 1.045
4.524 1.458 1.868
1.880 1.406 1.045
1.280 1.785 3.904
1.333 -0.859 4.727
0.954 4.019 1.868
-1.280 -1.785 3.904
0.000 0.000 0.000
2.739 0.000 2.886
```



[12]
Here is a relaxed MgTi3Zn4 crystal from Alexandria. Energies are from GGA-PBE.

Calculated values
ΔE_f, eV per atom: -0.148

Geometry as POSCAR:
```
MgTi3Zn4
1.0
3.319 0.000 0.000
0.000 4.372 0.000
0.000 0.000 8.788
Mg Ti Zn
1 3 4
Cartesian
1.660 2.186 0.000
1.660 0.000 6.561
1.660 2.186 4.394
1.660 0.000 2.226
0.000 0.000 0.000
0.000 0.000 4.394
0.000 2.186 6.559
0.000 2.186 2.228
```



[13]
Here is a relaxed AlVPd3 crystal from Alexandria. Energies are from GGA-PBE.

Calculated values
ΔE_f, eV per atom: 0.314

Geometry as POSCAR:
```
AlVPd3
1.0
4.525 0.000 0.000
0.000 4.525 0.000
0.000 0.000 4.525
Pd Al V
3 1 1
Cartesian
2.262 0.000 0.000
0.000 0.000 2.262
0.000 2.262 0.000
0.000 0.000 0.000
2.262 2.262 2.262
```



[14]
Here is a relaxed TbNiHgPt crystal from Alexandria. Energies are from GGA-PBE.

Calculated values
ΔE_f, eV per atom: -0.475

Geometry as POSCAR:
```
TbNiHgPt
1.0
4.736 0.000 0.000
2.368 4.101 0.000
2.368 1.367 3.867
Ni Pt Tb Hg
1 1 1 1
Cartesian
2.368 1.367 0.967
7.103 4.101 2.900
0.000 0.000 0.000
4.736 2.734 1.933
```



[15]
Here is a relaxed AcDyIrCl crystal from Alexandria. Energies are from GGA-PBE.

Calculated values
Formation energy without anion corrections, eV per atom: -1.207

Geometry as POSCAR:
```
AcDyIrCl
1.0
-0.166 3.767 1.773
-3.288 -1.461 -2.099
-1.549 -5.221 6.057
Cl Dy Ir Ac
1 1 1 1
Cartesian
-1.914 1.264 2.958
-3.242 -1.354 -1.399
-3.258 -4.259 4.777
-1.626 -1.829 4.662
```



[16]
Here is a relaxed Cr2SbRh crystal from Alexandria. Energies are from GGA-PBE.

Calculated values
Formation energy without anion corrections, eV per atom: 0.142

Geometry as POSCAR:
```
Cr2SbRh
1.0
4.876 -0.006 -0.003
1.963 4.463 0.003
-3.416 -2.235 2.667
Sb Cr Rh
1 2 1
Cartesian
0.984 2.229 1.335
6.840 4.458 0.000
3.420 2.229 0.000
2.440 -0.006 1.332
```



[17]
Here is a relaxed InAg4Au2 crystal from Alexandria. Energies are from GGA-PBE.

Calculated values
ΔE_f, eV per atom: 0.023

Geometry as POSCAR:
```
InAg4Au2
1.0
7.661 0.764 0.789
0.283 7.698 -0.693
-3.148 -5.017 4.949
Au Ag In
4 8 2
Cartesian
2.812 -0.304 4.009
-1.904 -1.659 3.547
4.575 6.080 1.171
3.505 1.159 1.545
4.978 1.896 4.060
2.568 4.005 1.078
1.478 -0.954 1.536
-0.234 4.628 0.761
0.786 -2.494 3.951
6.357 0.507 1.890
1.901 2.422 3.617
3.657 -3.115 4.302
0.815 1.729 0.905
5.412 3.292 1.534
```



[18]
Here is a relaxed CsSrN2F crystal from Alexandria. Energies are from GGA-PBE.

Calculated values
Formation energy without anion corrections, eV per atom: -0.169

Geometry as POSCAR:
```
CsSrN2F
1.0
5.164 0.000 0.000
0.000 5.164 0.000
0.000 0.000 4.795
Cs Sr N F
1 1 2 1
Cartesian
2.582 2.582 2.398
0.000 0.000 0.000
0.000 2.582 0.000
2.582 0.000 0.000
0.000 0.000 2.398
```



[19]
Here is a relaxed LaY2Mg crystal from Alexandria. Energies are from GGA-PBE.

Calculated values
ΔE_f, eV per atom: 0.083

Geometry as POSCAR:
```
LaY2Mg
1.0
6.808 0.002 -0.010
-3.288 5.961 -0.010
0.710 1.203 3.125
Mg Y La
1 2 1
Cartesian
-1.289 3.582 1.558
0.000 0.000 0.000
1.760 2.982 -0.010
3.759 0.602 1.558
```



[20]
Here is a relaxed Tb2ErZn2 crystal from Alexandria. Energies are from GGA-PBE.

Calculated values
ΔE_f, eV per atom: -0.197

Geometry as POSCAR:
```
Tb2ErZn2
1.0
-3.476 3.241 -2.425
-1.168 -4.356 -4.147
-3.838 -4.311 5.609
Er Zn Tb
2 4 4
Cartesian
-5.131 -3.999 2.010
-3.705 -2.748 -4.231
-3.553 -0.830 -1.885
-5.533 -2.671 -1.508
-2.712 -1.873 1.385
-5.314 -6.034 -0.447
-0.774 -1.292 -0.616
-3.015 -3.950 -0.957
-5.252 -0.674 0.757
-7.689 -4.065 -0.281
```



[21]
Here is a relaxed LiRe4Ru crystal from Alexandria. Energies are from GGA-PBE.

Calculated values
ΔE_f, eV per atom: 0.475

Geometry as POSCAR:
```
LiRe4Ru
1.0
0.000 3.632 3.632
3.632 0.000 3.632
3.632 3.632 0.000
Re Ru Li
4 1 1
Cartesian
4.547 4.547 2.718
2.718 2.718 2.718
2.718 4.547 4.547
4.547 2.718 4.547
5.449 5.449 5.449
0.000 0.000 0.000
```



[22]
Here is a relaxed Li3Pr2Pt2 crystal from Alexandria. Energies are from GGA-PBE.

Calculated values
ΔE_f, eV per atom: -0.616

Geometry as POSCAR:
```
Li3Pr2Pt2
1.0
-0.740 -0.253 -4.110
5.413 0.959 1.096
-0.024 -7.112 0.443
Pt Li Pr
2 3 2
Cartesian
3.637 -1.803 -2.673
1.011 -4.604 0.102
3.103 -0.290 -0.541
1.546 -6.117 -2.031
0.000 0.000 0.000
0.809 -2.454 -2.124
3.839 -3.953 -0.447
```



[23]
Here is a relaxed BaVTe2 crystal from Alexandria. Energies are from GGA-PBE.

Calculated values
Formation energy without anion corrections, eV per atom: -0.422

Geometry as POSCAR:
```
BaVTe2
1.0
0.740 -5.260 -1.628
-2.493 -4.135 2.748
-4.180 -2.788 -2.372
V Ba Te
1 1 2
Cartesian
0.000 0.000 0.000
-2.967 -6.092 -0.626
-4.450 -9.137 -0.939
-1.483 -3.046 -0.313
```



[24]
Here is a relaxed OsRuPt crystal from Alexandria. Energies are from GGA-PBE.

Calculated values
ΔE_f, eV per atom: 0.049

Geometry as POSCAR:
```
OsRuPt
1.0
-1.078 -2.199 -4.105
3.217 -2.746 -2.227
-2.493 0.786 4.002
Ru Os Pt
1 1 1
Cartesian
1.405 -3.248 -4.160
0.020 -0.046 -0.059
0.714 -1.650 -2.114
```



[25]
Here is a relaxed HfGaCo crystal from Alexandria. Energies are from GGA-PBE.

Calculated values
ΔE_f, eV per atom: -0.555

Geometry as POSCAR:
```
HfGaCo
1.0
6.941 0.000 0.000
-3.471 6.011 0.000
0.000 0.000 3.295
Ga Hf Co
3 3 3
Cartesian
1.838 0.000 0.000
2.552 4.420 0.000
-0.919 1.591 0.000
-2.081 3.605 1.647
1.389 2.406 1.647
4.163 0.000 1.647
3.471 2.004 0.000
0.000 4.007 0.000
0.000 0.000 1.647
```



[26]
Here is a relaxed IrPdW crystal from Alexandria. Energies are from GGA-PBE.

Calculated values
ΔE_f, eV per atom: -0.113

Geometry as POSCAR:
```
IrPdW
1.0
2.797 0.000 0.000
-1.398 5.083 0.087
0.000 -1.780 6.401
Pd W Ir
2 2 2
Cartesian
1.398 0.445 3.430
0.000 2.859 3.058
1.398 4.481 1.307
0.000 -1.178 5.181
0.000 1.625 5.634
1.398 1.679 0.853
```



| no. | size of the total moment (μB per formula unit) |
| --- | --- |
| 1 | 3.3 |
| 2 | 7.7 |
| 3 | 0.0 |
| 4 | 0.0 |
| 5 | 0.0 |
| 6 | 0.0 |
| 7 | 0.0 |
| 8 | 0.0 |
| 9 | 5.0 |
| 10 | 0.0 |
| 11 | 1.1 |
| 12 | 0.0 |
| 13 | 3.6 |
| 14 | 0.0 |
| 15 | 0.0 |
| 16 | 1.0 |
| 17 | 0.0 |
| 18 | 4.0 |
| 19 | 0.0 |
| 20 | 0.0 |
| 21 | 0.0 |
| 22 | 0.0 |
| 23 | 3.0 |
| 24 | 0.0 |
| 25 | 0.0 |
| 26 | 0.0 |